This record from Alexandria via LeMat-Bulk describes a relaxed structure of TbPaPt2. The functional is GGA-PBE.

Lattice parameters (Å, degrees): 3.4861 3.4861 7.1729 90.00 90.00 90.00
Closest atoms and distances in Å follow each position.
Space group P4/mmm (No. 123)
Symmetry-distinct sites (fractional):
Tb 0.0000 0.0000 0.0000 (multiplicity 1)  8 Pt 3.09
Pa 0.0000 0.0000 0.5000 (multiplicity 1)  8 Pt 3.01
Pt 0.5000 0.5000 0.2591 (multiplicity 2)  4 Pa 3.01, 4 Tb 3.09

Output
energy of formation from the pure elements = -0.9601 eV per atom
offset from the most stable computed form = 0.160 eV per atom
magnetization = 0.49 μB/f.u.